Record 1
Rb2YSb2: relaxed, PBE.

Formation energy without anion corrections, eV/atom: -0.412
VASP energy, eV/atom: -3.74
Density of states at the Fermi level, states/eV per atom: 0.409

Unit cell a=8.0158 b=8.0158 c=6.1619 alpha=90.00 beta=90.00 gamma=90.00
Closest atoms and distances in Å follow each position.
Sites, in units of the cell vectors:
Y 0.0000 0.0000 0.0000  4 Sb 3.14
Y 0.5000 0.5000 0.0000  4 Sb 3.14
Sb 0.3697 0.8697 0.0000  1 Sb 2.95, 2 Y 3.14
Sb 0.8697 0.6303 0.0000  1 Sb 2.95, 2 Y 3.14
Sb 0.6303 0.1303 0.0000  1 Sb 2.95, 2 Y 3.14
Sb 0.1303 0.3697 0.0000  1 Sb 2.95, 2 Y 3.14
Rb 0.1682 0.6682 0.5000  5 Rb 3.81-4.22, 6 Sb 3.83-3.91
Rb 0.6682 0.8318 0.5000  5 Rb 3.81-4.22, 6 Sb 3.83-3.91
Rb 0.8318 0.3318 0.5000  5 Rb 3.81-4.22, 6 Sb 3.83-3.91
Rb 0.3318 0.1682 0.5000  5 Rb 3.81-4.22, 6 Sb 3.83-3.91



Record 2
Rb3YSb: relaxed, PBE.

Formation energy without anion corrections, eV/atom: 0.967
VASP energy, eV/atom: -1.73
Density of states at the Fermi level, states/eV per atom: 1.562

Unit cell a=6.9672 b=6.9672 c=6.9672 alpha=90.00 beta=90.00 gamma=90.00
Closest atoms and distances in Å follow each position.
Sites, in units of the cell vectors:
Y 0.0000 0.0000 0.0000  6 Rb 3.48
Sb 0.5000 0.5000 0.5000  12 Rb 4.93
Rb 0.0000 0.5000 0.0000  2 Y 3.48
Rb 0.0000 0.0000 0.5000  2 Y 3.48
Rb 0.5000 0.0000 0.0000  2 Y 3.48



Record 3
RbY2Sb2: relaxed, PBE.

Formation energy without anion corrections, eV/atom: -0.623
VASP energy, eV/atom: -5.05
Density of states at the Fermi level, states/eV per atom: 0.513

Unit cell a=8.9363 b=8.9363 c=3.8516 alpha=90.00 beta=90.00 gamma=90.00
Closest atoms and distances in Å follow each position.
Sites, in units of the cell vectors:
Y 0.3699 0.8699 0.0000  6 Sb 3.25-3.26, 1 Y 3.29, 2 Rb 3.50
Y 0.8699 0.6301 0.0000  6 Sb 3.25-3.26, 1 Y 3.29, 2 Rb 3.50
Y 0.6301 0.1301 0.0000  6 Sb 3.25-3.26, 1 Y 3.29, 2 Rb 3.50
Y 0.1301 0.3699 0.0000  6 Sb 3.25-3.26, 1 Y 3.29, 2 Rb 3.50
Sb 0.1614 0.6614 0.5000  6 Y 3.25-3.26
Sb 0.6614 0.8386 0.5000  6 Y 3.25-3.26
Sb 0.8386 0.3386 0.5000  6 Y 3.25-3.26
Sb 0.3386 0.1614 0.5000  6 Y 3.25-3.26
Rb 0.0000 0.0000 0.0000  4 Y 3.50, 2 Rb 3.85, 8 Sb 3.87
Rb 0.5000 0.5000 0.0000  4 Y 3.50, 2 Rb 3.85, 8 Sb 3.87